# 1
An optimized crystal structure of Er4SbH. Source: the Alexandria database, functional PBE-GGA.

It has space group P-1 (No. 2), with a = 5.9356 Å, b = 5.9932 Å, c = 8.8020 Å, α = 109.81°, β = 96.19° and γ = 90.05°. The asymmetric unit holds Er at (0.2130, 0.1526, 0.1020), Er at (0.2432, 0.7098, 0.3085), Er at (0.2569, 0.9042, 0.6920), Er at (0.2871, 0.5516, 0.8983), Sb at (0.2495, 0.2852, 0.4999), H at (0.0000, 0.5000, 0.0000) and H at (0.5000, 0.0000, 0.0000).

For the density of states at the Fermi level, the calculation gives 13.3 states/eV per cell. As for the raw total energy: -4.55 eV/atom.


# 2
An optimized crystal structure of Er3SbH. Source: the Alexandria database, functional PBE-GGA.

It has space group P2_1/m (No. 11), with a = 6.4228 Å, b = 3.8909 Å, c = 9.4262 Å, α = 90.00°, β = 100.70° and γ = 90.00°. The asymmetric unit holds Er at (0.0918, 0.2500, 0.3531), Er at (0.2657, 0.7500, 0.0885), Er at (0.4070, 0.7500, 0.6246), Sb at (0.2185, 0.2500, 0.8369) and H at (0.3206, 0.7500, 0.3451).

For the distance to the lowest polymorph of the same formula, the calculation gives 0.00 kJ per mole of atoms. For the density of states at the Fermi level, the calculation gives 7.1 states/eV per cell. As for the raw total energy: -4.77 eV/atom.


# 3
An optimized crystal structure of Er8Sb2H. Source: the Alexandria database, functional PBE-GGA.

It has space group C2/m (No. 12), with a = 17.7439 Å, b = 3.9859 Å, c = 8.4229 Å, α = 90.00°, β = 99.73° and γ = 90.00°. The asymmetric unit holds Er at (0.0058, 0.0000, 0.2054), Er at (0.0913, 0.5000, 0.5400), Er at (0.1397, 0.5000, 0.0177), Er at (0.2018, 0.0000, 0.3535), Sb at (0.1882, 0.0000, 0.7740) and H at (0.0000, 0.5000, 0.0000).

For the density of states at the Fermi level, the calculation gives 21.9 states/eV per cell. As for the raw total energy: -4.78 eV/atom.


# 4
An optimized crystal structure of Er2SbTeH2. Source: the Alexandria database, functional PBE-GGA.

It has space group P-3m1 (No. 164), with a = 3.8218 Å, b = 3.8218 Å, c = 9.0161 Å, α = 90.00°, β = 90.00° and γ = 120.00°. The asymmetric unit holds Er at (0.3333, 0.6667, 0.2598), Sb at (0.0000, 0.0000, 0.0000), Te at (0.0000, 0.0000, 0.5000) and H at (0.3333, 0.6667, 0.7426).

For the density of states at the Fermi level, the calculation gives 1.0 states/eV per cell. As for the raw total energy: -4.72 eV/atom.


# 5
An optimized crystal structure of ErScH. Source: the Alexandria database, functional PBE-GGA.

It has space group Pca2_1 (No. 29), with a = 5.9917 Å, b = 6.9966 Å, c = 5.4571 Å, α = 90.00°, β = 90.00° and γ = 90.00°. The asymmetric unit holds Er at (0.0790, 0.1314, 0.0000), Sc at (0.0880, 0.6155, 0.0182) and H at (0.0923, 0.6112, 0.3990).

For the distance to the lowest polymorph of the same formula, the calculation gives 0.00 kJ per mole of atoms. For the density of states at the Fermi level, the calculation gives 10.8 states/eV per cell. As for the raw total energy: -5.07 eV/atom.


# 6
An optimized crystal structure of ErScH2. Source: the Alexandria database, functional PBE-GGA.

It has space group R3m (No. 160, hexagonal axes), with a = 3.3277 Å, b = 3.3277 Å, c = 16.7676 Å, α = 90.00°, β = 90.00° and γ = 120.00°. The asymmetric unit holds Er at (0.0000, 0.0000, 0.0000), Sc at (0.0000, 0.0000, 0.1805), H at (0.0000, 0.0000, 0.5791) and H at (0.0000, 0.0000, 0.7772).

For the distance to the lowest polymorph of the same formula, the calculation gives 20.11 kJ per mole of atoms. For the density of states at the Fermi level, the calculation gives 4.2 states/eV per cell. As for the raw total energy: -4.68 eV/atom.


# 7
An optimized crystal structure of ErScH. Source: the Alexandria database, functional PBE-GGA.

It has space group P3m1 (No. 156), with a = 3.4536 Å, b = 3.4536 Å, c = 5.2928 Å, α = 90.00°, β = 90.00° and γ = 120.00°. The asymmetric unit holds Er at (0.0000, 0.0000, 0.0000), Sc at (0.6667, 0.3333, 0.5096) and H at (0.3333, 0.6667, 0.7403).

For the distance to the lowest polymorph of the same formula, the calculation gives 8.10 kJ per mole of atoms. For the density of states at the Fermi level, the calculation gives 3.0 states/eV per cell. As for the raw total energy: -4.98 eV/atom.


# 8
An optimized crystal structure of Er2ScH. Source: the Alexandria database, functional PBE-GGA.

It has space group R-3m (No. 166, hexagonal axes), with a = 3.3901 Å, b = 3.3901 Å, c = 26.8868 Å, α = 90.00°, β = 90.00° and γ = 120.00°. The asymmetric unit holds Er at (0.0000, 0.0000, 0.1171), Sc at (0.0000, 0.0000, 0.0000) and H at (0.0000, 0.0000, 0.5000).

For the distance to the lowest polymorph of the same formula, the calculation gives 0.00 kJ per mole of atoms. For the density of states at the Fermi level, the calculation gives 15.2 states/eV per cell. As for the raw total energy: -4.67 eV/atom.


# 9
An optimized crystal structure of ErScH4. Source: the Alexandria database, functional PBE-GGA.

It has space group I4_1/amd (No. 141, origin choice 2), with a = 4.9176 Å, b = 4.9176 Å, c = 9.9438 Å, α = 90.00°, β = 90.00° and γ = 90.00°. The asymmetric unit holds Er at (0.0000, 0.2500, 0.3750), Sc at (0.0000, 0.2500, 0.8750) and H at (0.2353, 0.0000, 0.0000).

For the density of states at the Fermi level, the calculation gives 6.6 states/eV per cell. As for the raw total energy: -4.74 eV/atom.


# 10
An optimized crystal structure of ErSc2H8. Source: the Alexandria database, functional PBE-GGA.

It has space group Immm (No. 71), with a = 3.4113 Å, b = 4.8859 Å, c = 10.2823 Å, α = 90.00°, β = 90.00° and γ = 90.00°. The asymmetric unit holds Er at (0.0000, 0.0000, 0.0000), Sc at (0.0000, 0.0000, 0.3305), H at (0.0000, 0.2131, 0.5000), H at (0.0000, 0.2695, 0.1653) and H at (0.0000, 0.5000, 0.3441).

For the density of states at the Fermi level, the calculation gives 2.4 states/eV per cell. As for the raw total energy: -4.57 eV/atom.